(1)
# LaMnAl2C | Alexandria via LeMat-Bulk | GGA-PBEsol | optimized geometry
data_LaMnAl2C
_space_group_name_H-M_alt 'P 1'
_space_group_IT_number 1
_cell_length_a 4.0261
_cell_length_b 4.0261
_cell_length_c 5.1713
_cell_angle_alpha 90.00
_cell_angle_beta 90.00
_cell_angle_gamma 90.00
loop_
_space_group_symop_operation_xyz
'x,y,z'
loop_
_atom_site_label
_atom_site_type_symbol
_atom_site_fract_x
_atom_site_fract_y
_atom_site_fract_z
C1 C 0.0000 0.0000 0.0000
La1 La 0.0000 0.0000 0.5000
Al1 Al 0.0000 0.5000 0.0000
Al2 Al 0.5000 0.0000 0.0000
Mn1 Mn 0.5000 0.5000 0.5000
# Calculated volume ... 83.83 Å³ per cell
# Space-group type ... P4/mmm
# DFT formation energy ... 1.70 eV/f.u.

***

(2)
# SnTe2H | Alexandria via LeMat-Bulk | GGA-PBEsol | optimized geometry
data_SnTe2H
_space_group_name_H-M_alt 'P 1'
_space_group_IT_number 1
_cell_length_a 4.0773
_cell_length_b 4.0773
_cell_length_c 6.6416
_cell_angle_alpha 72.12
_cell_angle_beta 72.12
_cell_angle_gamma 60.00
loop_
_space_group_symop_operation_xyz
'x,y,z'
loop_
_atom_site_label
_atom_site_type_symbol
_atom_site_fract_x
_atom_site_fract_y
_atom_site_fract_z
H1 H 0.5000 0.5000 0.5000
Sn1 Sn 0.0000 0.0000 0.0000
Te1 Te 0.7642 0.7642 0.7075
Te2 Te 0.2358 0.2358 0.2925
# Calculated volume ... 89.41 Å³ per cell
# Space-group type ... R-3m
# Uncorrected energy ... -13.489 eV/cell

***

(3)
# TaCuAs2 | Alexandria via LeMat-Bulk | GGA-PBEsol | optimized geometry
data_TaCuAs2
_space_group_name_H-M_alt 'P 1'
_space_group_IT_number 1
_cell_length_a 2.8467
_cell_length_b 4.7059
_cell_length_c 5.0083
_cell_angle_alpha 93.73
_cell_angle_beta 90.00
_cell_angle_gamma 107.61
loop_
_space_group_symop_operation_xyz
'x,y,z'
loop_
_atom_site_label
_atom_site_type_symbol
_atom_site_fract_x
_atom_site_fract_y
_atom_site_fract_z
As1 As 0.2702 0.5404 0.2588
As2 As 0.7298 0.4596 0.7412
Cu1 Cu 0.5000 0.0000 0.0000
Ta1 Ta 0.0000 0.0000 0.5000
# Calculated volume ... 63.80 Å³ per cell
# Space-group type ... C2/m
# DFT formation energy ... 0.48 eV/f.u.

***

(4)
# MgBeRe4 | Alexandria via LeMat-Bulk | GGA-PBEsol | optimized geometry
data_MgBeRe4
_space_group_name_H-M_alt 'P 1'
_space_group_IT_number 1
_cell_length_a 5.1363
_cell_length_b 5.1363
_cell_length_c 5.1363
_cell_angle_alpha 60.00
_cell_angle_beta 60.00
_cell_angle_gamma 60.00
loop_
_space_group_symop_operation_xyz
'x,y,z'
loop_
_atom_site_label
_atom_site_type_symbol
_atom_site_fract_x
_atom_site_fract_y
_atom_site_fract_z
Re1 Re 0.8740 0.3753 0.3753
Re2 Re 0.3753 0.3753 0.8740
Re3 Re 0.3753 0.3753 0.3753
Re4 Re 0.3753 0.8740 0.3753
Be1 Be 0.7500 0.7500 0.7500
Mg1 Mg 0.0000 0.0000 0.0000
# Calculated volume ... 95.82 Å³ per cell
# Space-group type ... F-43m
# DFT formation energy ... 3.43 eV/f.u.

***

(5)
# Gd2CuAu | Alexandria via LeMat-Bulk | GGA-PBEsol | optimized geometry
data_Gd2CuAu
_space_group_name_H-M_alt 'P 1'
_space_group_IT_number 1
_cell_length_a 4.9741
_cell_length_b 4.9741
_cell_length_c 4.9741
_cell_angle_alpha 60.00
_cell_angle_beta 60.00
_cell_angle_gamma 60.00
loop_
_space_group_symop_operation_xyz
'x,y,z'
loop_
_atom_site_label
_atom_site_type_symbol
_atom_site_fract_x
_atom_site_fract_y
_atom_site_fract_z
Gd1 Gd 0.7500 0.7500 0.7500
Gd2 Gd 0.2500 0.2500 0.2500
Cu1 Cu 0.0000 0.0000 0.0000
Au1 Au 0.5000 0.5000 0.5000
# Calculated volume ... 87.02 Å³ per cell
# Space-group type ... Fm-3m
# DFT formation energy ... -1.98 eV/f.u.

***

(6)
# Li4CaRu | Alexandria via LeMat-Bulk | GGA-PBEsol | optimized geometry
data_Li4CaRu
_space_group_name_H-M_alt 'P 1'
_space_group_IT_number 1
_cell_length_a 5.1804
_cell_length_b 5.1804
_cell_length_c 5.1804
_cell_angle_alpha 60.00
_cell_angle_beta 60.00
_cell_angle_gamma 60.00
loop_
_space_group_symop_operation_xyz
'x,y,z'
loop_
_atom_site_label
_atom_site_type_symbol
_atom_site_fract_x
_atom_site_fract_y
_atom_site_fract_z
Li1 Li 0.3792 0.3792 0.8625
Li2 Li 0.8625 0.3792 0.3792
Li3 Li 0.3792 0.8625 0.3792
Li4 Li 0.3792 0.3792 0.3792
Ru1 Ru 0.7500 0.7500 0.7500
Ca1 Ca 0.0000 0.0000 0.0000
# Calculated volume ... 98.30 Å³ per cell
# Space-group type ... F-43m
# DFT formation energy ... 1.75 eV/f.u.

***

(7)
# SrCo2SiAs | Alexandria via LeMat-Bulk | GGA-PBEsol | optimized geometry
data_SrCo2SiAs
_space_group_name_H-M_alt 'P 1'
_space_group_IT_number 1
_cell_length_a 4.3272
_cell_length_b 4.3272
_cell_length_c 4.9582
_cell_angle_alpha 90.00
_cell_angle_beta 90.00
_cell_angle_gamma 90.00
loop_
_space_group_symop_operation_xyz
'x,y,z'
loop_
_atom_site_label
_atom_site_type_symbol
_atom_site_fract_x
_atom_site_fract_y
_atom_site_fract_z
As1 As 0.0000 0.0000 0.5000
Co1 Co 0.5000 0.0000 0.0000
Co2 Co 0.0000 0.5000 0.0000
Sr1 Sr 0.5000 0.5000 0.5000
Si1 Si 0.0000 0.0000 0.0000
# Calculated volume ... 92.84 Å³ per cell
# Space-group type ... P4/mmm
# Formation energy (no corrections) ... 0.215 eV per atom

***

(8)
# TcGeS2Cl | Alexandria via LeMat-Bulk | GGA-PBEsol | optimized geometry
data_TcGeS2Cl
_space_group_name_H-M_alt 'P 1'
_space_group_IT_number 1
_cell_length_a 4.5392
_cell_length_b 4.5392
_cell_length_c 4.7829
_cell_angle_alpha 90.00
_cell_angle_beta 90.00
_cell_angle_gamma 90.00
loop_
_space_group_symop_operation_xyz
'x,y,z'
loop_
_atom_site_label
_atom_site_type_symbol
_atom_site_fract_x
_atom_site_fract_y
_atom_site_fract_z
S1 S 0.0000 0.5000 0.0000
S2 S 0.5000 0.0000 0.0000
Cl1 Cl 0.0000 0.0000 0.5000
Ge1 Ge 0.5000 0.5000 0.5000
Tc1 Tc 0.0000 0.0000 0.0000
# Calculated volume ... 98.55 Å³ per cell
# Space-group type ... P4/mmm
# Formation energy (no corrections) ... 0.164 eV per atom

***

(9)
# YCuP3 | Alexandria via LeMat-Bulk | GGA-PBEsol | optimized geometry
data_YCuP3
_space_group_name_H-M_alt 'P 1'
_space_group_IT_number 1
_cell_length_a 4.4872
_cell_length_b 4.4872
_cell_length_c 4.4872
_cell_angle_alpha 90.00
_cell_angle_beta 90.00
_cell_angle_gamma 90.00
loop_
_space_group_symop_operation_xyz
'x,y,z'
loop_
_atom_site_label
_atom_site_type_symbol
_atom_site_fract_x
_atom_site_fract_y
_atom_site_fract_z
P1 P 0.0000 0.5000 0.0000
P2 P 0.5000 0.0000 0.0000
P3 P 0.0000 0.0000 0.5000
Cu1 Cu 0.0000 0.0000 0.0000
Y1 Y 0.5000 0.5000 0.5000
# Calculated volume ... 90.35 Å³ per cell
# Space-group type ... Pm-3m
# DFT formation energy ... -0.21 eV/f.u.

***

(10)
# TaCdTc2 | Alexandria via LeMat-Bulk | GGA-PBEsol | optimized geometry
data_TaCdTc2
_space_group_name_H-M_alt 'P 1'
_space_group_IT_number 1
_cell_length_a 2.8729
_cell_length_b 2.8729
_cell_length_c 7.9186
_cell_angle_alpha 90.00
_cell_angle_beta 90.00
_cell_angle_gamma 90.00
loop_
_space_group_symop_operation_xyz
'x,y,z'
loop_
_atom_site_label
_atom_site_type_symbol
_atom_site_fract_x
_atom_site_fract_y
_atom_site_fract_z
Ta1 Ta 0.5000 0.5000 0.7730
Tc1 Tc 0.0000 0.0000 0.0269
Tc2 Tc 0.5000 0.5000 0.2136
Cd1 Cd 0.0000 0.0000 0.4866
# Calculated volume ... 65.36 Å³ per cell
# Space-group type ... P4mm
# DFT formation energy ... 0.53 eV/f.u.

***

(11)
# ThHg3 | Alexandria via LeMat-Bulk | GGA-PBEsol | optimized geometry
data_ThHg3
_space_group_name_H-M_alt 'P 1'
_space_group_IT_number 1
_cell_length_a 4.9225
_cell_length_b 6.6947
_cell_length_c 6.6947
_cell_angle_alpha 120.00
_cell_angle_beta 90.00
_cell_angle_gamma 90.00
loop_
_space_group_symop_operation_xyz
'x,y,z'
loop_
_atom_site_label
_atom_site_type_symbol
_atom_site_fract_x
_atom_site_fract_y
_atom_site_fract_z
Hg1 Hg 0.2500 0.1615 0.3230
Hg2 Hg 0.7500 0.8385 0.1615
Hg3 Hg 0.7500 0.8385 0.6770
Hg4 Hg 0.2500 0.1615 0.8385
Hg5 Hg 0.2500 0.6770 0.8385
Hg6 Hg 0.7500 0.3230 0.1615
Th1 Th 0.2500 0.6667 0.3333
Th2 Th 0.7500 0.3333 0.6667
# Calculated volume ... 191.07 Å³ per cell
# Space-group type ... P6_3/mmc
# DFT formation energy ... -1.40 eV/f.u.

***

(12)
# BeIn4As | Alexandria via LeMat-Bulk | GGA-PBEsol | optimized geometry
data_BeIn4As
_space_group_name_H-M_alt 'P 1'
_space_group_IT_number 1
_cell_length_a 5.9111
_cell_length_b 5.9111
_cell_length_c 5.9111
_cell_angle_alpha 60.00
_cell_angle_beta 60.00
_cell_angle_gamma 60.00
loop_
_space_group_symop_operation_xyz
'x,y,z'
loop_
_atom_site_label
_atom_site_type_symbol
_atom_site_fract_x
_atom_site_fract_y
_atom_site_fract_z
As1 As 0.7500 0.7500 0.7500
In1 In 0.3750 0.3750 0.3750
In2 In 0.3750 0.3750 0.8750
In3 In 0.8750 0.3750 0.3750
In4 In 0.3750 0.8750 0.3750
Be1 Be 0.0000 0.0000 0.0000
# Calculated volume ... 146.05 Å³ per cell
# Space-group type ... F-43m
# DFT formation energy ... 4.11 eV/f.u.